Density functional theory data (GGA-PBE) for a relaxed FeMoRuW crystal.

The calculation puts the total DFT energy (no corrections) at -10.242 eV/atom. The density of states at the Fermi level comes out at 16.658 states/eV per cell. As for the formation energy: 0.14 eV per atom.

The structure belongs to space group F-43m (No. 216); the cell edges are 6.1706, 6.1706 and 6.1706 Å and the angles 90.00°, 90.00° and 90.00°. The asymmetric unit holds Fe at (0.0000, 0.0000, 0.0000), Mo at (0.2500, 0.2500, 0.7500), Ru at (0.2500, 0.2500, 0.2500) and W at (0.0000, 0.0000, 0.5000).